1.
DFT (PBE) results for a relaxed structure of ScCoAgSn.

Properties
- Total magnetic moment: 0.075 μB per atom

```
4
Lattice="-3.655 -2.428 -1.416 0.606 -3.999 -2.215 -1.074 -3.973 2.079" Properties=species:S:1:pos:R:3 pbc="T T T"
Co 0.000 0.000 0.000
Ag -2.062 -5.200 -0.776
Sc -3.093 -7.800 -1.163
Sn -1.031 -2.600 -0.388
```



2.
DFT (PBE) results for a relaxed structure of Sc2CoAgSn.

Properties
- Total magnetic moment: 0.000 μB per atom

```
5
Lattice="-1.465 -4.522 0.517 2.947 -1.354 -3.488 3.459 -0.753 3.214" Properties=species:S:1:pos:R:3 pbc="T T T"
Sc -0.733 -2.261 0.259
Sc 1.729 -0.377 1.607
Sn 1.473 -0.677 -1.744
Ag 2.470 -3.314 0.121
Co 0.000 0.000 0.000
```



3.
DFT (PBE) results for a relaxed structure of Sr2ScCoAg.

Properties
- Total magnetic moment: 0.000 μB per atom

```
5
Lattice="5.761 0.000 0.000 0.000 4.676 0.000 0.000 0.000 5.761" Properties=species:S:1:pos:R:3 pbc="T T T"
Ag 2.880 2.338 2.880
Sr 2.880 0.000 0.000
Co 0.000 0.000 0.000
Sc 0.000 2.338 0.000
Sr 0.000 0.000 2.880
```



4.
DFT (PBE) results for a relaxed structure of TbScCoAg.

Properties
- Energy above the lowest structure with this stoichiometry: 0.000 eV/f.u.
- Total magnetic moment: 0.114 μB per atom

```
4
Lattice="-1.642 1.606 2.298 0.121 -2.620 1.917 6.403 2.411 2.892" Properties=species:S:1:pos:R:3 pbc="T T T"
Tb 4.275 1.388 4.382
Ag 0.609 0.229 0.275
Co 3.515 1.323 1.587
Sc 1.507 0.347 3.132
```



DFT formation energy across the listed records, respectively: -0.21 -0.14 0.16 -0.27 eV per atom.